The following is a PBE+U calculation of a relaxed Fe35SiO48 crystal, from Alexandria via LeMat-Bulk.

a b c (Å): 10.323 10.323 10.269
angles (deg): 99.47 99.47 120.06
Fractional positions:
Fe (0.000, 0.000, 0.000)
Fe (0.015, 0.353, 0.067)
Fe (0.077, 0.415, 0.760)
Fe (0.080, 0.916, 0.253)
Fe (0.081, 0.911, 0.751)
Fe (0.142, 0.472, 0.445)
Fe (0.157, 0.825, 0.511)
Fe (0.181, 0.181, 0.574)
Fe (0.241, 0.741, 0.259)
Fe (0.246, 0.744, 0.759)
Fe (0.254, 0.254, 0.256)
Fe (0.306, 0.306, 0.949)
Fe (0.329, 0.663, 0.009)
Fe (0.353, 0.015, 0.067)
Fe (0.408, 0.574, 0.760)
Fe (0.415, 0.077, 0.760)
Fe (0.421, 0.588, 0.261)
Fe (0.472, 0.142, 0.445)
Fe (0.499, 0.499, 0.514)
Fe (0.514, 0.845, 0.576)
Fe (0.574, 0.408, 0.760)
Fe (0.575, 0.905, 0.259)
Fe (0.588, 0.421, 0.261)
Fe (0.644, 0.969, 0.943)
Fe (0.663, 0.329, 0.009)
Fe (0.684, 0.684, 0.066)
Fe (0.741, 0.241, 0.259)
Fe (0.744, 0.246, 0.759)
Fe (0.745, 0.745, 0.758)
Fe (0.825, 0.157, 0.511)
Fe (0.845, 0.514, 0.576)
Fe (0.905, 0.575, 0.259)
Fe (0.911, 0.081, 0.751)
Fe (0.916, 0.080, 0.253)
Fe (0.969, 0.644, 0.943)
Si (0.810, 0.810, 0.444)
O (0.018, 0.206, 0.634)
O (0.033, 0.705, 0.155)
O (0.047, 0.202, 0.142)
O (0.058, 0.722, 0.640)
O (0.101, 0.101, 0.854)
O (0.106, 0.632, 0.380)
O (0.118, 0.118, 0.367)
O (0.139, 0.624, 0.881)
O (0.202, 0.047, 0.142)
O (0.206, 0.018, 0.634)
O (0.213, 0.548, 0.653)
O (0.226, 0.553, 0.142)
O (0.264, 0.932, 0.383)
O (0.278, 0.941, 0.864)
O (0.286, 0.472, 0.881)
O (0.316, 0.466, 0.382)
O (0.350, 0.866, 0.637)
O (0.375, 0.855, 0.140)
O (0.387, 0.387, 0.641)
O (0.396, 0.396, 0.158)
O (0.432, 0.765, 0.878)
O (0.449, 0.781, 0.366)
O (0.466, 0.316, 0.382)
O (0.472, 0.286, 0.881)
O (0.521, 0.708, 0.141)
O (0.525, 0.678, 0.637)
O (0.548, 0.213, 0.653)
O (0.553, 0.226, 0.142)
O (0.595, 0.595, 0.865)
O (0.624, 0.139, 0.881)
O (0.632, 0.106, 0.380)
O (0.635, 0.635, 0.387)
O (0.678, 0.525, 0.637)
O (0.705, 0.033, 0.155)
O (0.708, 0.521, 0.141)
O (0.722, 0.058, 0.640)
O (0.765, 0.432, 0.878)
O (0.781, 0.449, 0.366)
O (0.785, 0.942, 0.385)
O (0.804, 0.963, 0.864)
O (0.855, 0.375, 0.140)
O (0.866, 0.350, 0.637)
O (0.875, 0.875, 0.615)
O (0.886, 0.886, 0.138)
O (0.932, 0.264, 0.383)
O (0.941, 0.278, 0.864)
O (0.942, 0.785, 0.385)
O (0.963, 0.804, 0.864)

Results
The value obtained for the density is 5.107 g/cm³. The total energy is -6.406 eV per atom. The space group is No. 8.